First-principles (PBE-GGA) data for a geometry-optimized Pm3Nd2Sm6 structure, as listed in the Alexandria database.

Geometry as POSCAR:
```
Pm3Nd2Sm6
1.0
6.320 0.000 0.000
-2.083 7.855 0.000
-1.038 -2.811 7.582
Pm Nd Sm
3 2 6
Cartesian
0.000 0.000 0.000
-1.035 0.561 6.209
4.235 4.484 1.373
1.063 -0.558 3.445
2.137 5.602 4.137
-1.025 3.916 4.830
1.069 2.804 2.068
1.079 6.172 0.685
2.121 -1.128 6.898
2.130 2.241 5.514
4.224 1.128 2.752
```

Properties
total DFT energy (no corrections) = -0.3472 Ry per atom
distance to the lowest polymorph of the same formula = 0.0 meV per atom
space-group type = P-1, No. 2
magnetic moment = 0.00 μB per formula unit

=====

First-principles (PBE-GGA) data for a geometry-optimized Pm5Nd12Sm structure, as listed in the Alexandria database.

Geometry as POSCAR:
```
Pm5Nd12Sm
1.0
6.069 -8.697 0.000
6.069 8.697 0.000
0.000 0.000 5.949
Pm Nd Sm
5 12 1
Cartesian
0.000 0.000 0.000
6.068 6.295 2.974
6.069 2.398 0.000
6.069 -2.398 0.000
6.068 -6.295 2.974
4.216 5.592 0.055
4.215 3.104 2.919
2.409 0.000 3.300
3.667 0.000 0.325
7.921 5.592 5.893
7.921 3.104 3.029
4.215 -3.104 2.919
4.216 -5.592 0.055
8.470 0.000 5.623
9.728 0.000 2.648
7.921 -3.104 3.029
7.921 -5.592 5.893
6.068 0.000 2.974
```

Properties
total DFT energy (no corrections) = -0.3442 Ry per atom
space-group type = C2/m, No. 12
magnetic moment = 0.00 μB per formula unit